Entry 1:
VASP calculation (PBE) on a relaxed GdInPd2 crystal.

Values from the calculation:
DFT formation energy	-65	kJ/mol of atoms

Structure (POSCAR):
```
GdInPd2
1.0
3.482 0.000 0.000
0.000 3.482 0.000
0.000 0.000 6.653
Gd In Pd
1 1 2
Cartesian
0.000 0.000 0.000 Gd
0.000 0.000 3.327 In
1.741 1.741 1.810 Pd
1.741 1.741 4.843 Pd
```

=====

Entry 2:
VASP calculation (PBE) on a relaxed GdIn2Pd crystal.

Values from the calculation:
DFT formation energy	-47	kJ/mol of atoms

Structure (POSCAR):
```
GdIn2Pd
1.0
4.373 0.000 0.000
0.000 4.373 0.000
0.000 0.000 4.773
Gd In Pd
1 2 1
Cartesian
0.000 0.000 0.000 Gd
0.000 2.186 2.387 In
2.186 0.000 2.387 In
2.186 2.186 0.000 Pd
```

=====

Entry 3:
VASP calculation (PBE) on a relaxed GdIn2Pd crystal.

Values from the calculation:
DFT formation energy	-43	kJ/mol of atoms

Structure (POSCAR):
```
GdIn2Pd
1.0
0.000 3.535 3.535
3.535 0.000 3.535
3.535 3.535 0.000
Gd In Pd
1 2 1
Cartesian
0.000 0.000 0.000 Gd
1.767 1.767 1.767 In
5.302 5.302 5.302 In
3.535 3.535 3.535 Pd
```

=====

Entry 4:
VASP calculation (PBE) on a relaxed GdIn2Pd crystal.

Values from the calculation:
DFT formation energy	-51	kJ/mol of atoms

Structure (POSCAR):
```
GdIn2Pd
1.0
3.422 0.000 0.000
0.000 3.422 0.000
0.000 0.000 7.601
Gd In Pd
1 2 1
Cartesian
0.000 0.000 0.000 Gd
1.711 1.711 2.240 In
1.711 1.711 5.361 In
0.000 0.000 3.800 Pd
```

=====

Entry 5:
VASP calculation (PBE) on a relaxed PmGdInPd crystal.

Values from the calculation:
DFT formation energy	-55	kJ/mol of atoms

Structure (POSCAR):
```
PmGdInPd
1.0
0.000 3.711 3.711
3.711 0.000 3.711
3.711 3.711 0.000
Pm Gd In Pd
1 1 1 1
Cartesian
0.000 0.000 0.000 Pm
3.711 3.711 3.711 Gd
1.856 1.856 1.856 In
5.567 5.567 5.567 Pd
```

=====

Entry 6:
VASP calculation (PBE) on a relaxed GdPuInPd crystal.

Values from the calculation:
DFT formation energy	-32	kJ/mol of atoms

Structure (POSCAR):
```
GdPuInPd
1.0
0.000 3.681 3.681
3.681 0.000 3.681
3.681 3.681 0.000
Gd Pu In Pd
1 1 1 1
Cartesian
0.000 0.000 0.000 Gd
3.681 3.681 3.681 Pu
5.522 5.522 5.522 In
1.841 1.841 1.841 Pd
```

=====

no.,raw total energy (eV/f.u.)
1,-29.91
2,-26.69
3,-26.55
4,-26.86
5,-29.03
6,-37.69